A relaxed structure of ThTi2Ni9, computed with PBE-GGA.

```
data_ThTi2Ni9
_chemical_formula_sum 'Th3 Ti6 Ni27'
_cell_length_a 4.8403
_cell_length_b 4.8403
_cell_length_c 23.5601
_cell_angle_alpha 90.00
_cell_angle_beta 90.00
_cell_angle_gamma 120.00
_space_group_name_H-M_alt 'R -3 m'
_space_group_IT_number 166
_space_group_name_Hall '-R 3 2"'
loop_
_atom_site_label
_atom_site_type_symbol
_atom_site_fract_x
_atom_site_fract_y
_atom_site_fract_z
Th1 Th 0.0000 0.0000 0.0000
Ti1 Ti 0.0000 0.0000 0.1440
Ni1 Ni 0.0000 0.0000 0.3338
Ni2 Ni 0.0000 0.0000 0.5000
Ni3 Ni 0.0059 0.5030 0.9118
```

Calculated values
E_form in meV/atom: -388
Total magnetic moment in μB per atom: 0.000
Calculated density in Mg/m³: 8.92